1.
An optimized crystal structure of BaAl2H, computed with PBE-GGA.

The energy above the most stable polymorph in this dataset is 0 meV/atom.

It has space group Fd-3m (No. 227, origin choice 2), with a = 8.806 Å, b = 8.806 Å, c = 8.806 Å, α = 90.00°, β = 90.00° and γ = 90.00°. The inequivalent atoms are Ba at (0.125, 0.125, 0.125), Al at (0.000, 0.000, 0.500) and H at (0.125, 0.125, 0.625).

2.
An optimized crystal structure of NdEuCo4, computed with PBE-GGA.

The formation energy comes out at 0.02 eV/atom.

It has space group F-43m (No. 216), with a = 7.321 Å, b = 7.321 Å, c = 7.321 Å, α = 90.00°, β = 90.00° and γ = 90.00°. The inequivalent atoms are Nd at (0.000, 0.000, 0.000), Eu at (0.250, 0.250, 0.250) and Co at (0.125, 0.125, 0.625).

3.
An optimized crystal structure of InMoRu, computed with PBE-GGA.

The formation energy comes out at 0.21 eV/atom.

It has space group P3m1 (No. 156), with a = 2.9182 Å, b = 2.9182 Å, c = 6.8652 Å, α = 90.00°, β = 90.00° and γ = 120.00°. The inequivalent atoms are In at (0.0000, 0.0000, 0.0000), Mo at (0.3333, 0.6667, 0.3611) and Ru at (0.6667, 0.3333, 0.6548).

4.
An optimized crystal structure of Tm2ScCo, computed with PBE-GGA.

The energy above the most stable polymorph in this dataset is 0 meV/atom. The formation energy comes out at -0.21 eV/atom.

It has space group Pnma (No. 62), with a = 6.731 Å, b = 8.948 Å, c = 6.087 Å, α = 90.00°, β = 90.00° and γ = 90.00°. The inequivalent atoms are Tm at (0.180, 0.064, 0.179), Sc at (0.044, 0.250, 0.635) and Co at (0.112, 0.750, 0.979).

5.
An optimized crystal structure of Cu2BiPdO6, computed with PBE-GGA.

Its formation energy (no corrections) is -5.298 eV per formula unit.

It has space group C2/c (No. 15), with a = 9.538 Å, b = 9.501 Å, c = 5.666 Å, α = 90.00°, β = 98.29° and γ = 90.00°. The inequivalent atoms are Cu at (0.168, 0.083, 0.310), Bi at (0.000, 0.398, 0.250), Pd at (0.000, 0.229, 0.750), O at (0.112, 0.234, 0.087), O at (0.121, 0.396, 0.632) and O at (0.133, 0.086, 0.634).

6.
An optimized crystal structure of ZrReP, computed with PBE-GGA.

The formation energy comes out at -0.69 eV/atom.

It has space group P4/nmm (No. 129, origin choice 2), with a = 3.801 Å, b = 3.801 Å, c = 6.774 Å, α = 90.00°, β = 90.00° and γ = 90.00°. The inequivalent atoms are Zr at (0.250, 0.250, 0.159), Re at (0.250, 0.750, 0.500) and P at (0.250, 0.250, 0.752).

7.
An optimized crystal structure of Ba12Ga3Cl5, computed with PBE-GGA.

Its formation energy (no corrections) is -18.811 eV per formula unit.

It has space group Ia-3d (No. 230), with a = 19.409 Å, b = 19.409 Å, c = 19.409 Å, α = 90.00°, β = 90.00° and γ = 90.00°. The inequivalent atoms are Ba at (0.023, 0.069, 0.655), Ga at (0.000, 0.250, 0.125), Cl at (0.000, 0.000, 0.000) and Cl at (0.000, 0.250, 0.375).

8.
An optimized crystal structure of ThGe2PtRh2, computed with PBE-GGA.

The formation energy comes out at -0.21 eV/atom.

It has space group P4/mmm (No. 123), with a = 4.673 Å, b = 4.673 Å, c = 5.599 Å, α = 90.00°, β = 90.00° and γ = 90.00°. The inequivalent atoms are Th at (0.000, 0.000, 0.000), Ge at (0.000, 0.500, 0.500), Pt at (0.000, 0.000, 0.500) and Rh at (0.500, 0.500, 0.242).